Record 1
# Ce3Sm4YAs8 | Alexandria | PBE-GGA | optimized geometry
# DOS(E_F) = 17.3 states/eV/f.u.
# Energy = -6.52 eV per atom
# Symmetry = R-3m
# Energy of formation = -1.498 eV/atom
# M_tot = 0.11 μB per atom
data_Ce3Sm4YAs8
_chemical_formula_sum 'Ce3 Sm4 Y1 As8'
_cell_length_a 8.403
_cell_length_b 8.407
_cell_length_c 8.403
_cell_angle_alpha 119.99
_cell_angle_beta 120.00
_cell_angle_gamma 90.00
_space_group_name_H-M_alt 'P 1'
_space_group_IT_number 1
_space_group_name_Hall 'P 1'
loop_
_atom_site_label
_atom_site_type_symbol
_atom_site_fract_x
_atom_site_fract_y
_atom_site_fract_z
_atom_site_occupancy
Ce1 Ce 0.500 0.500 0.000 1
Ce2 Ce 0.500 0.500 0.500 1
Ce3 Ce 0.000 0.500 0.500 1
Sm1 Sm 0.500 0.000 0.000 1
Sm2 Sm 0.500 0.000 0.500 1
Sm3 Sm 0.000 0.000 0.000 1
Sm4 Sm 0.000 0.000 0.500 1
Y1 Y 0.000 0.500 0.000 1
As1 As 0.248 0.746 0.998 1
As2 As 0.248 0.746 0.497 1
As3 As 0.251 0.252 0.501 1
As4 As 0.750 0.746 0.998 1
As5 As 0.250 0.254 0.002 1
As6 As 0.749 0.748 0.499 1
As7 As 0.752 0.254 0.503 1
As8 As 0.752 0.254 0.002 1

Record 2
# La2InAs | Alexandria | PBE-GGA | optimized geometry
# Energy above the most stable polymorph in this dataset = 0.0657 eV per atom
# DOS(E_F) = 2.2 states/eV/f.u.
# Energy = -5.18 eV per atom
# Symmetry = P2/m
# Energy of formation = -0.868 eV/atom
# M_tot = 0.00 μB per atom
data_La2InAs
_chemical_formula_sum 'La2 In1 As1'
_cell_length_a 3.909
_cell_length_b 3.918
_cell_length_c 8.313
_cell_angle_alpha 61.99
_cell_angle_beta 90.00
_cell_angle_gamma 90.00
_space_group_name_H-M_alt 'P 1'
_space_group_IT_number 1
_space_group_name_Hall 'P 1'
loop_
_atom_site_label
_atom_site_type_symbol
_atom_site_fract_x
_atom_site_fract_y
_atom_site_fract_z
_atom_site_occupancy
As1 As 0.500 0.250 0.250 1
In1 In 0.500 0.750 0.750 1
La1 La 0.000 0.976 0.025 1
La2 La 0.000 0.524 0.475 1

Record 3
# TeBrF | Alexandria | PBE-GGA | optimized geometry
# Energy above the most stable polymorph in this dataset = 0.1718 eV per atom
# DOS(E_F) = 0.5 states/eV/f.u.
# Energy = -3.00 eV per atom
# Symmetry = P1
# Formation energy from raw total energies = -773 meV per atom
# M_tot = 0.00 μB per atom
data_TeBrF
_chemical_formula_sum 'Te1 Br1 F1'
_cell_length_a 4.445
_cell_length_b 4.434
_cell_length_c 5.409
_cell_angle_alpha 100.85
_cell_angle_beta 90.69
_cell_angle_gamma 114.00
_space_group_name_H-M_alt 'P 1'
_space_group_IT_number 1
_space_group_name_Hall 'P 1'
loop_
_atom_site_label
_atom_site_type_symbol
_atom_site_fract_x
_atom_site_fract_y
_atom_site_fract_z
_atom_site_occupancy
Te1 Te 0.301 0.396 0.146 1
Br1 Br 0.379 0.591 0.638 1
F1 F 0.766 0.405 0.143 1

Record 4
# ThPd2Au4 | Alexandria | PBE-GGA | optimized geometry
# DOS(E_F) = 3.3 states/eV/f.u.
# Energy = -4.88 eV per atom
# Symmetry = C2/m
# Energy of formation = -0.466 eV/atom
# M_tot = 0.00 μB per atom
data_ThPd2Au4
_chemical_formula_sum 'Th1 Pd2 Au4'
_cell_length_a 5.441
_cell_length_b 5.669
_cell_length_c 5.669
_cell_angle_alpha 76.82
_cell_angle_beta 61.57
_cell_angle_gamma 61.57
_space_group_name_H-M_alt 'P 1'
_space_group_IT_number 1
_space_group_name_Hall 'P 1'
loop_
_atom_site_label
_atom_site_type_symbol
_atom_site_fract_x
_atom_site_fract_y
_atom_site_fract_z
_atom_site_occupancy
Th1 Th 0.000 0.000 0.000 1
Pd1 Pd 0.750 0.500 0.500 1
Pd2 Pd 0.250 0.500 0.500 1
Au1 Au 0.697 0.605 0.000 1
Au2 Au 0.303 0.395 0.000 1
Au3 Au 0.697 0.000 0.605 1
Au4 Au 0.303 0.000 0.395 1

Record 5
# Na2NpU2S6 | Alexandria | PBE-GGA | optimized geometry
# DOS(E_F) = 18.1 states/eV/f.u.
# Energy = -7.09 eV per atom
# Symmetry = C2/m
# Formation energy from raw total energies = -1373 meV per atom
# M_tot = 0.82 μB per atom
data_Na2NpU2S6
_chemical_formula_sum 'Na2 Np1 U2 S6'
_cell_length_a 6.912
_cell_length_b 6.912
_cell_length_c 7.108
_cell_angle_alpha 99.25
_cell_angle_beta 99.25
_cell_angle_gamma 120.05
_space_group_name_H-M_alt 'P 1'
_space_group_IT_number 1
_space_group_name_Hall 'P 1'
loop_
_atom_site_label
_atom_site_type_symbol
_atom_site_fract_x
_atom_site_fract_y
_atom_site_fract_z
_atom_site_occupancy
Na1 Na 0.833 0.167 0.000 1
Na2 Na 0.167 0.833 0.000 1
Np1 Np 0.000 0.000 0.500 1
U1 U 0.335 0.665 0.500 1
U2 U 0.665 0.335 0.500 1
S1 S 0.741 0.741 0.723 1
S2 S 0.069 0.409 0.720 1
S3 S 0.259 0.259 0.277 1
S4 S 0.409 0.069 0.720 1
S5 S 0.931 0.591 0.280 1
S6 S 0.591 0.931 0.280 1

Record 6
# Sc3Cd2Os | Alexandria | PBE-GGA | optimized geometry
# DOS(E_F) = 3.6 states/eV/f.u.
# Energy = -5.72 eV per atom
# Symmetry = Cmmm
# Energy of formation = -0.381 eV/atom
# M_tot = 0.00 μB per atom
data_Sc3Cd2Os
_chemical_formula_sum 'Sc6 Cd4 Os2'
_cell_length_a 4.746
_cell_length_b 7.476
_cell_length_c 7.190
_cell_angle_alpha 90.00
_cell_angle_beta 90.00
_cell_angle_gamma 71.49
_space_group_name_H-M_alt 'P 1'
_space_group_IT_number 1
_space_group_name_Hall 'P 1'
loop_
_atom_site_label
_atom_site_type_symbol
_atom_site_fract_x
_atom_site_fract_y
_atom_site_fract_z
_atom_site_occupancy
Sc1 Sc 0.825 0.349 0.782 1
Sc2 Sc 0.500 0.000 0.227 1
Sc3 Sc 0.175 0.651 0.218 1
Sc4 Sc 0.825 0.349 0.218 1
Sc5 Sc 0.175 0.651 0.782 1
Sc6 Sc 0.500 0.000 0.773 1
Cd1 Cd 0.000 0.000 0.000 1
Cd2 Cd 0.000 0.000 0.500 1
Cd3 Cd 0.334 0.332 0.500 1
Cd4 Cd 0.666 0.668 0.500 1
Os1 Os 0.336 0.327 0.000 1
Os2 Os 0.664 0.673 0.000 1

Record 7
# SrSi2Pt | Alexandria | PBE-GGA | optimized geometry
# DOS(E_F) = 1.2 states/eV/f.u.
# Energy = -5.19 eV per atom
# Symmetry = P4/nmm
# Formation energy from raw total energies = -543 meV per atom
# M_tot = 0.00 μB per atom
data_SrSi2Pt
_chemical_formula_sum 'Sr2 Si4 Pt2'
_cell_length_a 4.361
_cell_length_b 4.361
_cell_length_c 9.026
_cell_angle_alpha 90.00
_cell_angle_beta 90.00
_cell_angle_gamma 90.00
_space_group_name_H-M_alt 'P 1'
_space_group_IT_number 1
_space_group_name_Hall 'P 1'
loop_
_atom_site_label
_atom_site_type_symbol
_atom_site_fract_x
_atom_site_fract_y
_atom_site_fract_z
_atom_site_occupancy
Sr1 Sr 0.500 0.000 0.225 1
Sr2 Sr 0.000 0.500 0.775 1
Si1 Si 0.500 0.000 0.897 1
Si2 Si 0.000 0.500 0.103 1
Si3 Si 0.000 0.000 0.500 1
Si4 Si 0.500 0.500 0.500 1
Pt1 Pt 0.500 0.000 0.634 1
Pt2 Pt 0.000 0.500 0.366 1

Record 8
# Pr5Nd5Cd | Alexandria | PBE-GGA | optimized geometry
# DOS(E_F) = 15.2 states/eV/f.u.
# Energy = -4.26 eV per atom
# Symmetry = C2/m
# Energy of formation = 0.158 eV/atom
# M_tot = 0.00 μB per atom
data_Pr5Nd5Cd
_chemical_formula_sum 'Pr5 Nd5 Cd1'
_cell_length_a 6.167
_cell_length_b 10.164
_cell_length_c 6.969
_cell_angle_alpha 109.94
_cell_angle_beta 90.00
_cell_angle_gamma 107.66
_space_group_name_H-M_alt 'P 1'
_space_group_IT_number 1
_space_group_name_Hall 'P 1'
loop_
_atom_site_label
_atom_site_type_symbol
_atom_site_fract_x
_atom_site_fract_y
_atom_site_fract_z
_atom_site_occupancy
Pr1 Pr 0.831 0.661 0.071 1
Pr2 Pr 0.831 0.661 0.590 1
Pr3 Pr 0.500 0.000 0.000 1
Pr4 Pr 0.169 0.339 0.410 1
Pr5 Pr 0.169 0.339 0.929 1
Nd1 Nd 0.675 0.349 0.175 1
Nd2 Nd 0.630 0.261 0.631 1
Nd3 Nd 0.000 0.000 0.500 1
Nd4 Nd 0.370 0.739 0.369 1
Nd5 Nd 0.325 0.651 0.825 1
Cd1 Cd 0.000 0.000 0.000 1

Record 9
# Zr2Cr3Fe | Alexandria | PBE-GGA | optimized geometry
# Energy above the most stable polymorph in this dataset = 0.0000 eV per atom
# DOS(E_F) = 5.1 states/eV/f.u.
# Energy = -9.15 eV per atom
# Symmetry = R-3m
# Energy of formation = -0.083 eV/atom
# M_tot = 0.14 μB per atom
data_Zr2Cr3Fe
_chemical_formula_sum 'Zr2 Cr3 Fe1'
_cell_length_a 4.952
_cell_length_b 4.952
_cell_length_c 5.076
_cell_angle_alpha 90.03
_cell_angle_beta 119.22
_cell_angle_gamma 119.94
_space_group_name_H-M_alt 'P 1'
_space_group_IT_number 1
_space_group_name_Hall 'P 1'
loop_
_atom_site_label
_atom_site_type_symbol
_atom_site_fract_x
_atom_site_fract_y
_atom_site_fract_z
_atom_site_occupancy
Zr1 Zr 0.749 0.374 0.124 1
Zr2 Zr 0.251 0.626 0.876 1
Cr1 Cr 0.500 0.500 0.500 1
Cr2 Cr 0.000 0.000 0.500 1
Cr3 Cr 0.500 0.000 0.500 1
Fe1 Fe 0.000 0.000 0.000 1

Record 10
# Na2GaIO4 | Alexandria | PBE-GGA | optimized geometry
# DOS(E_F) = 0.0 states/eV/f.u.
# Energy = -4.61 eV per atom
# Symmetry = I-4
# Formation energy from raw total energies = -1226 meV per atom
# M_tot = 0.00 μB per atom
data_Na2GaIO4
_chemical_formula_sum 'Na2 Ga1 I1 O4'
_cell_length_a 5.308
_cell_length_b 5.308
_cell_length_c 5.308
_cell_angle_alpha 107.76
_cell_angle_beta 110.33
_cell_angle_gamma 110.33
_space_group_name_H-M_alt 'P 1'
_space_group_IT_number 1
_space_group_name_Hall 'P 1'
loop_
_atom_site_label
_atom_site_type_symbol
_atom_site_fract_x
_atom_site_fract_y
_atom_site_fract_z
_atom_site_occupancy
Na1 Na 0.500 0.750 0.250 1
Na2 Na 0.000 0.000 0.000 1
Ga1 Ga 0.000 0.500 0.500 1
I1 I 0.500 0.250 0.750 1
O1 O 0.668 0.519 0.547 1
O2 O 0.029 0.149 0.481 1
O3 O 0.971 0.453 0.120 1
O4 O 0.332 0.880 0.851 1

Record 11
# NaRuO2 | Alexandria | PBE-GGA | optimized geometry
# DOS(E_F) = 2.0 states/eV/f.u.
# Energy = -5.59 eV per atom
# Symmetry = Fm-3m
# Formation energy from raw total energies = -460 meV per atom
# M_tot = 0.00 μB per atom
data_NaRuO2
_chemical_formula_sum 'Na1 Ru1 O2'
_cell_length_a 3.796
_cell_length_b 3.796
_cell_length_c 3.796
_cell_angle_alpha 60.00
_cell_angle_beta 60.00
_cell_angle_gamma 60.00
_space_group_name_H-M_alt 'P 1'
_space_group_IT_number 1
_space_group_name_Hall 'P 1'
loop_
_atom_site_label
_atom_site_type_symbol
_atom_site_fract_x
_atom_site_fract_y
_atom_site_fract_z
_atom_site_occupancy
Ru1 Ru 0.500 0.500 0.500 1
O1 O 0.250 0.250 0.250 1
O2 O 0.750 0.750 0.750 1
Na1 Na 0.000 0.000 0.000 1

Record 12
# Ta2SiHRh | Alexandria | PBE-GGA | optimized geometry
# DOS(E_F) = 2.4 states/eV/f.u.
# Energy = -8.21 eV per atom
# Symmetry = P4/mmm
# M_tot = 0.00 μB per atom
data_Ta2SiHRh
_chemical_formula_sum 'Ta2 Si1 H1 Rh1'
_cell_length_a 4.023
_cell_length_b 4.023
_cell_length_c 4.048
_cell_angle_alpha 90.00
_cell_angle_beta 90.00
_cell_angle_gamma 90.00
_space_group_name_H-M_alt 'P 1'
_space_group_IT_number 1
_space_group_name_Hall 'P 1'
loop_
_atom_site_label
_atom_site_type_symbol
_atom_site_fract_x
_atom_site_fract_y
_atom_site_fract_z
_atom_site_occupancy
H1 H 0.000 0.000 0.000 1
Si1 Si 0.500 0.500 0.500 1
Rh1 Rh 0.000 0.000 0.500 1
Ta1 Ta 0.000 0.500 0.000 1
Ta2 Ta 0.500 0.000 0.000 1

Record 13
# Dy6YHo2Er3 | Alexandria | PBE-GGA | optimized geometry
# DOS(E_F) = 16.3 states/eV/f.u.
# Energy = -4.72 eV per atom
# Symmetry = C2/m
# Energy of formation = 0.019 eV/atom
# M_tot = 0.00 μB per atom
data_Dy6YHo2Er3
_chemical_formula_sum 'Dy6 Y1 Ho2 Er3'
_cell_length_a 6.116
_cell_length_b 6.116
_cell_length_c 11.701
_cell_angle_alpha 94.98
_cell_angle_beta 94.98
_cell_angle_gamma 119.94
_space_group_name_H-M_alt 'P 1'
_space_group_IT_number 1
_space_group_name_Hall 'P 1'
loop_
_atom_site_label
_atom_site_type_symbol
_atom_site_fract_x
_atom_site_fract_y
_atom_site_fract_z
_atom_site_occupancy
Dy1 Dy 0.916 0.582 0.749 1
Dy2 Dy 0.750 0.750 0.251 1
Dy3 Dy 0.084 0.418 0.251 1
Dy4 Dy 0.582 0.916 0.749 1
Dy5 Dy 0.250 0.250 0.749 1
Dy6 Dy 0.418 0.084 0.251 1
Y1 Y 0.000 0.000 0.000 1
Ho1 Ho 0.333 0.667 0.000 1
Ho2 Ho 0.667 0.333 0.000 1
Er1 Er 0.167 0.833 0.500 1
Er2 Er 0.833 0.167 0.500 1
Er3 Er 0.500 0.500 0.500 1